a:
This record from Alexandria via LeMat-Bulk describes TbSmZnSi after structural relaxation. The functional is GGA-PBE.

Calculated values
**Magnetization**: 0.00 μB/atom

a = 7.1303 Å, b = 7.1303 Å, c = 7.1303 Å
α = 90.00°, β = 90.00°, γ = 90.00°
Fractional coordinates of all 16 atoms:
1 Tb 0.0000 0.0000 0.0000
2 Tb 0.0000 0.5000 0.5000
3 Tb 0.5000 0.0000 0.5000
4 Tb 0.5000 0.5000 0.0000
5 Sm 0.0000 0.0000 0.5000
6 Sm 0.0000 0.5000 0.0000
7 Sm 0.5000 0.0000 0.0000
8 Sm 0.5000 0.5000 0.5000
9 Zn 0.2500 0.2500 0.2500
10 Zn 0.2500 0.7500 0.7500
11 Zn 0.7500 0.2500 0.7500
12 Zn 0.7500 0.7500 0.2500
13 Si 0.2500 0.2500 0.7500
14 Si 0.2500 0.7500 0.2500
15 Si 0.7500 0.2500 0.2500
16 Si 0.7500 0.7500 0.7500

---

b:
This record from Alexandria via LeMat-Bulk describes TbSmZnSi after structural relaxation. The functional is GGA-PBE.

Calculated values
**Magnetization**: 0.09 μB/atom

a = 4.0886 Å, b = 4.2340 Å, c = 11.0012 Å
α = 90.00°, β = 90.00°, γ = 90.00°
Fractional coordinates of all 8 atoms:
1 Tb 0.0000 0.0000 0.0000
2 Tb 0.0000 0.5000 0.5000
3 Sm 0.5000 0.0000 0.7156
4 Sm 0.5000 0.5000 0.2156
5 Zn 0.0000 0.0000 0.2928
6 Zn 0.0000 0.5000 0.7928
7 Si 0.5000 0.0000 0.4328
8 Si 0.5000 0.5000 0.9328

---

Most favorable structure: b. The second most favorable one is 9.3 kJ/mol of atoms above it.

---

a:
This record from Alexandria via LeMat-Bulk describes SmSi2Tc2 after structural relaxation. The functional is GGA-PBE.

Calculated values
**Magnetization**: 0.00 μB/atom

a = 4.1526 Å, b = 4.1526 Å, c = 10.2322 Å
α = 90.00°, β = 90.00°, γ = 90.00°
Fractional coordinates of all 10 atoms:
1 Sm 0.0000 0.0000 0.0000
2 Sm 0.5000 0.5000 0.5000
3 Si 0.0000 0.0000 0.3754
4 Si 0.0000 0.0000 0.6246
5 Si 0.5000 0.5000 0.1246
6 Si 0.5000 0.5000 0.8754
7 Tc 0.0000 0.5000 0.2500
8 Tc 0.0000 0.5000 0.7500
9 Tc 0.5000 0.0000 0.2500
10 Tc 0.5000 0.0000 0.7500

---

b:
This record from Alexandria via LeMat-Bulk describes SmSi2Tc2 after structural relaxation. The functional is GGA-PBE.

Calculated values
**Magnetization**: 0.00 μB/atom

a = 10.7786 Å, b = 10.7786 Å, c = 10.7786 Å
α = 158.01°, β = 157.77°, γ = 31.47°
Fractional coordinates of all 10 atoms:
1 Sm 0.4138 0.1638 0.2500
2 Sm 0.5862 0.8362 0.7500
3 Si 0.0284 0.2784 0.7500
4 Si 0.1444 0.3944 0.7500
5 Si 0.8556 0.6056 0.2500
6 Si 0.9716 0.7216 0.2500
7 Tc 0.2133 0.9633 0.2500
8 Tc 0.2886 0.5386 0.7500
9 Tc 0.7114 0.4614 0.2500
10 Tc 0.7867 0.0367 0.7500

---

Most favorable structure: a. The second most favorable one is 1.6 kJ/mol of atoms above it.

---

a:
This record from Alexandria via LeMat-Bulk describes Sm2Si4Tc3 after structural relaxation. The functional is GGA-PBE.

Calculated values
**Magnetization**: 0.00 μB/atom

a = 6.8295 Å, b = 6.8426 Å, c = 6.8998 Å
α = 90.00°, β = 110.44°, γ = 90.00°
Fractional coordinates of all 18 atoms:
1 Sm 0.1893 0.1658 0.0564
2 Sm 0.1893 0.3342 0.5564
3 Sm 0.8107 0.6658 0.4436
4 Sm 0.8107 0.8342 0.9436
5 Si 0.1070 0.5550 0.8816
6 Si 0.1070 0.9450 0.3816
7 Si 0.4854 0.6435 0.6307
8 Si 0.4854 0.8565 0.1307
9 Si 0.5146 0.1435 0.8693
10 Si 0.5146 0.3565 0.3693
11 Si 0.8930 0.0550 0.6184
12 Si 0.8930 0.4450 0.1184
13 Tc 0.2448 0.6499 0.2577
14 Tc 0.2448 0.8501 0.7577
15 Tc 0.5000 0.0000 0.5000
16 Tc 0.5000 0.5000 0.0000
17 Tc 0.7552 0.1499 0.2423
18 Tc 0.7552 0.3501 0.7423

---

b:
This record from Alexandria via LeMat-Bulk describes Sm2Si4Tc3 after structural relaxation. The functional is GGA-PBE.

Calculated values
**Magnetization**: 0.00 μB/atom

a = 8.0199 Å, b = 8.0199 Å, c = 7.4719 Å
α = 90.00°, β = 90.00°, γ = 139.69°
Fractional coordinates of all 18 atoms:
1 Sm 0.1076 0.8924 0.9044
2 Sm 0.3924 0.6076 0.4044
3 Sm 0.6076 0.3924 0.5956
4 Sm 0.8924 0.1076 0.0956
5 Si 0.1803 0.8197 0.5205
6 Si 0.1905 0.3095 0.7500
7 Si 0.3095 0.1905 0.2500
8 Si 0.3197 0.6803 0.0205
9 Si 0.6803 0.3197 0.9795
10 Si 0.6905 0.8095 0.7500
11 Si 0.8095 0.6905 0.2500
12 Si 0.8197 0.1803 0.4795
13 Tc 0.0000 0.0000 0.5000
14 Tc 0.0254 0.4746 0.7500
15 Tc 0.4746 0.0254 0.2500
16 Tc 0.5000 0.5000 0.0000
17 Tc 0.5254 0.9746 0.7500
18 Tc 0.9746 0.5254 0.2500

---

Most favorable structure: a. The second most favorable one is 14.2 kJ/mol of atoms above it.

---

a:
This record from Alexandria via LeMat-Bulk describes SmSi3Tc3 after structural relaxation. The functional is GGA-PBE.

Calculated values
**Magnetization**: 0.33 μB/atom

a = 6.5765 Å, b = 6.5765 Å, c = 6.5765 Å
α = 90.00°, β = 90.00°, γ = 90.00°
Fractional coordinates of all 14 atoms:
1 Sm 0.0000 0.0000 0.0000
2 Sm 0.5000 0.5000 0.5000
3 Si 0.0000 0.2500 0.5000
4 Si 0.0000 0.7500 0.5000
5 Si 0.2500 0.5000 0.0000
6 Si 0.5000 0.0000 0.2500
7 Si 0.5000 0.0000 0.7500
8 Si 0.7500 0.5000 0.0000
9 Tc 0.0000 0.5000 0.2500
10 Tc 0.0000 0.5000 0.7500
11 Tc 0.2500 0.0000 0.5000
12 Tc 0.5000 0.2500 0.0000
13 Tc 0.5000 0.7500 0.0000
14 Tc 0.7500 0.0000 0.5000

---

b:
This record from Alexandria via LeMat-Bulk describes SmSi3Tc3 after structural relaxation. The functional is GGA-PBE.

Calculated values
**Magnetization**: 0.00 μB/atom

a = 7.3939 Å, b = 4.2035 Å, c = 7.8219 Å
α = 90.00°, β = 99.53°, γ = 90.00°
Fractional coordinates of all 14 atoms:
1 Sm 0.1624 0.2500 0.3766
2 Sm 0.8376 0.7500 0.6234
3 Si 0.1049 0.2500 0.8021
4 Si 0.2066 0.7500 0.0949
5 Si 0.4293 0.7500 0.5552
6 Si 0.5707 0.2500 0.4448
7 Si 0.7934 0.2500 0.9051
8 Si 0.8951 0.7500 0.1979
9 Tc 0.2676 0.7500 0.7920
10 Tc 0.3899 0.2500 0.0405
11 Tc 0.4912 0.2500 0.7293
12 Tc 0.5088 0.7500 0.2707
13 Tc 0.6101 0.7500 0.9595
14 Tc 0.7324 0.2500 0.2080

---

Most favorable structure: b. The second most favorable one is 56.3 kJ/mol of atoms above it.

---

a:
This record from Alexandria via LeMat-Bulk describes SmSi2Tc after structural relaxation. The functional is GGA-PBE.

Calculated values
**Magnetization**: 0.00 μB/atom

a = 3.1430 Å, b = 3.1430 Å, c = 6.9515 Å
α = 90.00°, β = 90.00°, γ = 90.00°
Fractional coordinates of all 4 atoms:
1 Sm 0.0000 0.0000 0.0000
2 Si 0.5000 0.5000 0.3113
3 Si 0.5000 0.5000 0.6887
4 Tc 0.0000 0.0000 0.5000

---

b:
This record from Alexandria via LeMat-Bulk describes SmSi2Tc after structural relaxation. The functional is GGA-PBE.

Calculated values
**Magnetization**: 0.00 μB/atom

a = 4.1378 Å, b = 4.1378 Å, c = 15.1241 Å
α = 90.00°, β = 90.00°, γ = 120.00°
Fractional coordinates of all 12 atoms:
1 Sm 0.0000 0.0000 0.0000
2 Sm 0.3333 0.6667 0.6667
3 Sm 0.6667 0.3333 0.3333
4 Si 0.0000 0.0000 0.2098
5 Si 0.0000 0.0000 0.7902
6 Si 0.3333 0.6667 0.4569
7 Si 0.3333 0.6667 0.8764
8 Si 0.6667 0.3333 0.1236
9 Si 0.6667 0.3333 0.5431
10 Tc 0.0000 0.0000 0.5000
11 Tc 0.3333 0.6667 0.1667
12 Tc 0.6667 0.3333 0.8333

---

Most favorable structure: b. The second most favorable one is 13.5 kJ/mol of atoms above it.

---

a:
This record from Alexandria via LeMat-Bulk describes Sm3SiTe2 after structural relaxation. The functional is GGA-PBE.

Calculated values
**Magnetization**: 0.00 μB/atom

a = 7.5957 Å, b = 7.5957 Å, c = 7.5296 Å
α = 99.80°, β = 99.80°, γ = 119.22°
Fractional coordinates of all 12 atoms:
1 Sm 0.0000 0.5000 0.0000
2 Sm 0.1444 0.2919 0.4958
3 Sm 0.2919 0.1444 0.9958
4 Sm 0.5000 0.0000 0.5000
5 Sm 0.7081 0.8556 0.0042
6 Sm 0.8556 0.7081 0.5042
7 Si 0.0889 0.9111 0.2500
8 Si 0.9111 0.0889 0.7500
9 Te 0.2584 0.7416 0.7500
10 Te 0.4187 0.5813 0.2500
11 Te 0.5813 0.4187 0.7500
12 Te 0.7416 0.2584 0.2500

---

b:
This record from Alexandria via LeMat-Bulk describes Sm3SiTe2 after structural relaxation. The functional is GGA-PBE.

Calculated values
**Magnetization**: 0.00 μB/atom

a = 7.5551 Å, b = 7.5551 Å, c = 7.6623 Å
α = 99.45°, β = 99.45°, γ = 119.99°
Fractional coordinates of all 12 atoms:
1 Sm 0.0710 0.4238 0.7724
2 Sm 0.2212 0.2212 0.2231
3 Sm 0.4238 0.0710 0.7724
4 Sm 0.5762 0.9290 0.2276
5 Sm 0.7788 0.7788 0.7769
6 Sm 0.9290 0.5762 0.2276
7 Si 0.1678 0.8322 0.0000
8 Si 0.8322 0.1678 0.0000
9 Te 0.0000 0.0000 0.5000
10 Te 0.3398 0.6602 0.5000
11 Te 0.5000 0.5000 0.0000
12 Te 0.6602 0.3398 0.5000

---

Most favorable structure: b. The second most favorable one is 1.4 kJ/mol of atoms above it.

---

a:
This record from Alexandria via LeMat-Bulk describes SmThSi after structural relaxation. The functional is GGA-PBE.

Calculated values
**Magnetization**: 0.00 μB/atom

a = 7.0078 Å, b = 7.0078 Å, c = 7.0078 Å
α = 90.00°, β = 90.00°, γ = 90.00°
Fractional coordinates of all 12 atoms:
1 Sm 0.0000 0.0000 0.0000
2 Sm 0.0000 0.5000 0.5000
3 Sm 0.5000 0.0000 0.5000
4 Sm 0.5000 0.5000 0.0000
5 Th 0.0000 0.0000 0.5000
6 Th 0.0000 0.5000 0.0000
7 Th 0.5000 0.0000 0.0000
8 Th 0.5000 0.5000 0.5000
9 Si 0.2500 0.2500 0.2500
10 Si 0.2500 0.7500 0.7500
11 Si 0.7500 0.2500 0.7500
12 Si 0.7500 0.7500 0.2500

---

b:
This record from Alexandria via LeMat-Bulk describes SmThSi after structural relaxation. The functional is GGA-PBE.

Calculated values
**Magnetization**: 0.00 μB/atom

a = 3.8895 Å, b = 3.8895 Å, c = 10.3590 Å
α = 90.00°, β = 90.00°, γ = 90.00°
Fractional coordinates of all 6 atoms:
1 Sm 0.0000 0.0000 0.0000
2 Sm 0.5000 0.5000 0.5000
3 Th 0.0000 0.0000 0.7122
4 Th 0.5000 0.5000 0.2122
5 Si 0.0000 0.0000 0.3593
6 Si 0.5000 0.5000 0.8593

---

c:
This record from Alexandria via LeMat-Bulk describes SmThSi after structural relaxation. The functional is GGA-PBE.

Calculated values
**Magnetization**: 0.00 μB/atom

a = 4.6577 Å, b = 4.6577 Å, c = 4.4157 Å
α = 90.00°, β = 90.00°, γ = 120.00°
Fractional coordinates of all 3 atoms:
1 Sm 0.0000 0.0000 0.0000
2 Th 0.6667 0.3333 0.4651
3 Si 0.3333 0.6667 0.7537

---

d:
This record from Alexandria via LeMat-Bulk describes SmThSi after structural relaxation. The functional is GGA-PBE.

Calculated values
**Magnetization**: 0.00 μB/atom

a = 7.9296 Å, b = 7.9296 Å, c = 4.4301 Å
α = 90.00°, β = 90.00°, γ = 120.00°
Fractional coordinates of all 9 atoms:
1 Sm 0.0000 0.4145 0.0000
2 Sm 0.4145 0.0000 0.0000
3 Sm 0.5855 0.5855 0.0000
4 Th 0.0000 0.7490 0.5000
5 Th 0.2510 0.2510 0.5000
6 Th 0.7490 0.0000 0.5000
7 Si 0.0000 0.0000 0.0000
8 Si 0.3333 0.6667 0.5000
9 Si 0.6667 0.3333 0.5000

---

Most favorable structure: d. The second most favorable one is 11.0 kJ/mol of atoms above it.

---

a:
This record from Alexandria via LeMat-Bulk describes SmYSi2 after structural relaxation. The functional is GGA-PBE.

Calculated values
**Magnetization**: 0.00 μB/atom

a = 3.8740 Å, b = 4.3457 Å, c = 10.6851 Å
α = 90.00°, β = 90.00°, γ = 90.00°
Fractional coordinates of all 8 atoms:
1 Sm 0.0000 0.0000 0.0000
2 Sm 0.0000 0.5000 0.5000
3 Y 0.5000 0.0000 0.2803
4 Y 0.5000 0.5000 0.7803
5 Si 0.0000 0.0000 0.7161
6 Si 0.0000 0.5000 0.2161
7 Si 0.5000 0.0000 0.5666
8 Si 0.5000 0.5000 0.0666

---

b:
This record from Alexandria via LeMat-Bulk describes SmYSi2 after structural relaxation. The functional is GGA-PBE.

Calculated values
**Magnetization**: 0.00 μB/atom

a = 4.2089 Å, b = 4.2089 Å, c = 19.8579 Å
α = 90.00°, β = 90.00°, γ = 120.00°
Fractional coordinates of all 12 atoms:
1 Sm 0.0000 0.0000 0.0000
2 Sm 0.3333 0.6667 0.6667
3 Sm 0.6667 0.3333 0.3333
4 Y 0.0000 0.0000 0.5000
5 Y 0.3333 0.6667 0.1667
6 Y 0.6667 0.3333 0.8333
7 Si 0.0000 0.0000 0.2485
8 Si 0.0000 0.0000 0.7515
9 Si 0.3333 0.6667 0.4182
10 Si 0.3333 0.6667 0.9151
11 Si 0.6667 0.3333 0.0849
12 Si 0.6667 0.3333 0.5818

---

Most favorable structure: a. The second most favorable one is 34.5 kJ/mol of atoms above it.

---

a:
This record from Alexandria via LeMat-Bulk describes Sm2ZnSi3 after structural relaxation. The functional is GGA-PBE.

Calculated values
**Magnetization**: 0.00 μB/atom

a = 4.1110 Å, b = 4.1731 Å, c = 14.0234 Å
α = 90.00°, β = 90.00°, γ = 90.00°
Fractional coordinates of all 12 atoms:
1 Sm 0.0000 0.0000 0.0000
2 Sm 0.0000 0.5000 0.2586
3 Sm 0.5000 0.0000 0.7586
4 Sm 0.5000 0.5000 0.5000
5 Zn 0.0000 0.0000 0.5904
6 Zn 0.5000 0.5000 0.0904
7 Si 0.0000 0.0000 0.4222
8 Si 0.0000 0.5000 0.6712
9 Si 0.0000 0.5000 0.8377
10 Si 0.5000 0.0000 0.1712
11 Si 0.5000 0.0000 0.3377
12 Si 0.5000 0.5000 0.9222

---

b:
This record from Alexandria via LeMat-Bulk describes Sm2ZnSi3 after structural relaxation. The functional is GGA-PBE.

Calculated values
**Magnetization**: 0.00 μB/atom

a = 4.1198 Å, b = 4.1403 Å, c = 7.0453 Å
α = 90.00°, β = 90.00°, γ = 90.00°
Fractional coordinates of all 6 atoms:
1 Sm 0.0000 0.0000 0.0000
2 Sm 0.5000 0.0000 0.4864
3 Zn 0.0000 0.5000 0.6630
4 Si 0.0000 0.5000 0.3264
5 Si 0.5000 0.5000 0.1593
6 Si 0.5000 0.5000 0.8267

---

Most favorable structure: a. The second most favorable one is 1.9 kJ/mol of atoms above it.

---

a:
This record from Alexandria via LeMat-Bulk describes SmZrSi2 after structural relaxation. The functional is GGA-PBE.

Calculated values
**Magnetization**: 0.00 μB/atom

a = 3.9439 Å, b = 3.9439 Å, c = 20.1207 Å
α = 90.00°, β = 90.00°, γ = 120.00°
Fractional coordinates of all 12 atoms:
1 Sm 0.0000 0.0000 0.0000
2 Sm 0.3333 0.6667 0.6667
3 Sm 0.6667 0.3333 0.3333
4 Zr 0.0000 0.0000 0.5000
5 Zr 0.3333 0.6667 0.1667
6 Zr 0.6667 0.3333 0.8333
7 Si 0.0000 0.0000 0.2413
8 Si 0.0000 0.0000 0.7587
9 Si 0.3333 0.6667 0.4254
10 Si 0.3333 0.6667 0.9080
11 Si 0.6667 0.3333 0.0920
12 Si 0.6667 0.3333 0.5746

---

b:
This record from Alexandria via LeMat-Bulk describes SmZrSi2 after structural relaxation. The functional is GGA-PBE.

Calculated values
**Magnetization**: 0.00 μB/atom

a = 3.8400 Å, b = 4.0670 Å, c = 10.4319 Å
α = 90.00°, β = 90.00°, γ = 90.00°
Fractional coordinates of all 8 atoms:
1 Sm 0.0000 0.0000 0.0000
2 Sm 0.0000 0.5000 0.5000
3 Zr 0.5000 0.0000 0.7184
4 Zr 0.5000 0.5000 0.2184
5 Si 0.0000 0.0000 0.2752
6 Si 0.0000 0.5000 0.7752
7 Si 0.5000 0.0000 0.4280
8 Si 0.5000 0.5000 0.9280

---

Most favorable structure: b. The second most favorable one is 17.9 kJ/mol of atoms above it.

---

a:
This record from Alexandria via LeMat-Bulk describes SiSn3 after structural relaxation. The functional is GGA-PBE.

Calculated values
**Magnetization**: 0.00 μB/atom

a = 4.9553 Å, b = 5.0822 Å, c = 5.1147 Å
α = 99.83°, β = 113.65°, γ = 113.83°
Fractional coordinates of all 4 atoms:
1 Si 0.0000 0.0000 0.0000
2 Sn 0.0000 0.5000 0.5000
3 Sn 0.4983 0.7538 0.2437
4 Sn 0.5017 0.2462 0.7563

---

b:
This record from Alexandria via LeMat-Bulk describes SiSn3 after structural relaxation. The functional is GGA-PBE.

Calculated values
**Magnetization**: 0.00 μB/atom

a = 4.6216 Å, b = 4.6216 Å, c = 4.6216 Å
α = 90.00°, β = 90.00°, γ = 90.00°
Fractional coordinates of all 4 atoms:
1 Si 0.0000 0.0000 0.0000
2 Sn 0.0000 0.5000 0.5000
3 Sn 0.5000 0.0000 0.5000
4 Sn 0.5000 0.5000 0.0000

---

Most favorable structure: a. The second most favorable one is 2.9 kJ/mol of atoms above it.

---

a:
This record from Alexandria via LeMat-Bulk describes SrSi3Sn after structural relaxation. The functional is GGA-PBE.

Calculated values
**Magnetization**: 0.00 μB/atom

a = 5.4641 Å, b = 5.4641 Å, c = 5.4641 Å
α = 90.00°, β = 90.00°, γ = 90.00°
Fractional coordinates of all 5 atoms:
1 Sr 0.0000 0.0000 0.0000
2 Si 0.0000 0.0000 0.5000
3 Si 0.0000 0.5000 0.0000
4 Si 0.5000 0.0000 0.0000
5 Sn 0.5000 0.5000 0.5000

---

b:
This record from Alexandria via LeMat-Bulk describes SrSi3Sn after structural relaxation. The functional is GGA-PBE.

Calculated values
**Magnetization**: 0.00 μB/atom

a = 5.2214 Å, b = 5.2214 Å, c = 5.2214 Å
α = 90.00°, β = 90.00°, γ = 90.00°
Fractional coordinates of all 5 atoms:
1 Sr 0.0000 0.0000 0.0000
2 Si 0.0000 0.5000 0.5000
3 Si 0.5000 0.0000 0.5000
4 Si 0.5000 0.5000 0.0000
5 Sn 0.5000 0.5000 0.5000

---

Most favorable structure: b. The second most favorable one is 82.6 kJ/mol of atoms above it.